Below is NiAg2HgSeS3 after structural relaxation, with properties calculated at the GGA-PBE level.

Computed properties:
final energy: -3.47 eV per atom

Unit cell a=5.7000 b=5.7000 c=6.9667 alpha=114.29 beta=114.29 gamma=89.54
Positions (direct):
Ag (0.7664, 0.2389, 0.5096)
Ag (0.2389, 0.7664, 0.5096)
Hg (0.9940, 0.9940, 0.9955)
Ni (0.5029, 0.5029, 0.9884)
S (0.8294, 0.8294, 0.2269)
S (0.6004, 0.1638, 0.7656)
S (0.1638, 0.6004, 0.7656)
Se (0.4042, 0.4042, 0.2387)

Below is NiAgHgSb after structural relaxation, with properties calculated at the GGA-PBE level.

Computed properties:
final energy: -2.87 eV per atom

Unit cell a=4.7851 b=4.7851 c=4.7851 alpha=60.00 beta=60.00 gamma=60.00
Positions (direct):
Ag (0.5000, 0.5000, 0.5000)
Hg (0.2500, 0.2500, 0.2500)
Ni (0.7500, 0.7500, 0.7500)
Sb (0.0000, 0.0000, 0.0000)

Question: Which formula does entry 2 have?
Answer: NiAgHgSb

Question: What is the formula in the second record?
Answer: NiAgHgSb

Question: The highest final energy belongs to which entry?
Answer: NiAgHgSb